*1*
## Cs3Sb2Te4 (PBE)

Data for a geometry-optimized Cs3Sb2Te4 structure.

```
Cs3Sb2Te4
1.0
9.077 -5.220 0.000
9.077 5.220 0.000
-0.295 0.000 10.160
Cs Sb Te
6 4 8
Cartesian
8.856 4.915 7.620
6.613 1.190 1.163
6.466 -1.190 6.243
11.393 1.190 3.917
11.245 -1.190 8.997
9.003 -4.915 2.540
3.439 1.540 5.529
3.586 -1.540 0.449
14.272 1.540 9.711
14.420 -1.540 4.631
3.543 0.345 8.509
7.743 2.343 4.855
3.690 -0.345 3.429
10.263 2.343 0.225
7.596 -2.343 9.936
14.168 0.345 6.732
10.116 -2.343 5.305
14.316 -0.345 1.651
```

Properties
- size of the total moment (μB per cell) = 0.00

***

*2*
## Cs3Sb2Te4 (PBE)

Data for a geometry-optimized Cs3Sb2Te4 structure.

```
Cs3Sb2Te4
1.0
7.374 -6.812 0.000
7.374 6.812 0.000
-1.547 0.000 9.259
Cs Sb Te
6 4 8
Cartesian
6.213 5.191 6.944
4.661 1.668 3.375
3.888 -1.668 8.005
9.313 1.668 1.254
8.539 -1.668 5.883
6.987 -5.191 2.315
1.392 1.760 8.312
2.166 -1.760 3.683
11.034 1.760 5.576
11.808 -1.760 0.946
1.602 0.813 5.603
4.085 2.374 8.871
2.376 -0.813 0.973
8.342 2.374 5.017
4.859 -2.374 4.242
10.824 0.813 8.285
9.115 -2.374 0.388
11.598 -0.813 3.656
```

Properties
- size of the total moment (μB per cell) = 0.00

***

We find *1* to be the most stable, with the next structure 4.5 kJ/mol of atoms higher.